Computed, not measured: TmMg3Pb6 after structural relaxation at the PBE-GGA level of DFT.

Space-group type: P2_1/c
Formation energy from the elements in eV/atom: -0.05
Calculated total energy in eV per cell: -64.063
Energy above the lowest structure with this stoichiometry in meV/atom: 37

The structure in extended XYZ format:
```
20
Lattice="4.860 0.000 -0.218 0.000 9.611 0.000 -0.869 0.000 12.421" Properties=species:S:1:pos:R:3 pbc="T T T"
Tm 0.000 0.000 0.000
Tm 1.996 4.805 6.101
Pb 3.993 6.470 11.456
Pb 1.428 1.771 10.837
Pb 1.997 7.946 5.355
Pb -0.002 3.140 0.747
Pb 4.292 3.034 4.517
Pb 1.994 1.665 6.848
Pb 1.873 4.888 2.917
Pb 2.118 4.723 9.286
Pb -0.301 6.577 7.685
Pb 2.563 7.839 1.366
Pb 3.869 9.528 9.018
Pb 0.122 0.083 3.185
Mg 2.430 4.805 -0.109
Mg -0.434 0.000 6.211
Mg 1.500 7.950 10.326
Mg 4.364 6.466 4.007
Mg -0.373 3.145 8.196
Mg 2.491 1.661 1.876
```